Density functional theory data (GGA-PBE) for a relaxed KB2AuO crystal.

Cell: 4.558 4.164 4.558 Å, 90.00 90.00 90.00°
Fractional positions:
K 0.500 0.500 0.500
B 0.000 0.000 0.500
B 0.500 0.000 0.000
Au 0.000 0.500 0.000
O 0.000 0.000 0.000

E (eV/atom): -3.022
Calculated density (g cm⁻³): 5.3
Volume (A^3/atom): 17.30
Space-group type: P4/mmm, No. 123
Formation energy without anion corrections (eV per atom): 1.516

***

Density functional theory data (GGA-PBE) for a relaxed Tb5Nd2 crystal.

Cell: 5.706 5.706 8.868 Å, 71.23 71.23 60.00°
Fractional positions:
Tb 0.084 0.084 0.748
Tb 0.776 0.776 0.672
Tb 0.500 0.500 0.500
Tb 0.224 0.224 0.328
Tb 0.916 0.916 0.252
Nd 0.636 0.636 0.091
Nd 0.364 0.364 0.909

Formation energy (eV per atom): 0.1405
E (eV/atom): -4.529
Calculated density (g cm⁻³): 7.7
Volume (A^3/atom): 33.16
Space-group type: R-3m, No. 166

***

Density functional theory data (GGA-PBE) for a relaxed LiY3F crystal.

Cell: 4.937 4.937 4.937 Å, 90.00 90.00 90.00°
Fractional positions:
Y 0.000 0.500 0.000
Y 0.000 0.000 0.500
Y 0.500 0.000 0.000
Li 0.500 0.500 0.500
F 0.000 0.000 0.000

E (eV/atom): -5.372
Calculated density (g cm⁻³): 4.0
Volume (A^3/atom): 24.07
Space-group type: Pm-3m, No. 221
Formation energy without anion corrections (eV per atom): -0.737

***

Density functional theory data (GGA-PBE) for a relaxed La12Si3O5 crystal.

Cell: 13.960 13.960 13.960 Å, 109.47 109.47 109.47°
Fractional positions:
Si 0.750 0.375 0.125
Si 0.875 0.750 0.125
Si 0.375 0.750 0.625
Si 0.250 0.125 0.375
Si 0.875 0.125 0.250
Si 0.375 0.625 0.250
Si 0.625 0.375 0.750
Si 0.125 0.875 0.750
Si 0.750 0.875 0.625
Si 0.625 0.250 0.375
Si 0.125 0.250 0.875
Si 0.250 0.625 0.875
O 0.125 0.375 0.250
O 0.000 0.500 0.000
O 0.000 0.000 0.000
O 0.375 0.250 0.125
O 0.500 0.000 0.500
O 0.500 0.500 0.000
O 0.125 0.750 0.375
O 0.750 0.125 0.875
O 0.750 0.625 0.375
O 0.375 0.125 0.750
O 0.625 0.875 0.250
O 0.500 0.500 0.500
O 0.500 0.000 0.000
O 0.000 0.000 0.500
O 0.250 0.375 0.625
O 0.250 0.875 0.125
O 0.000 0.500 0.500
O 0.875 0.250 0.625
O 0.625 0.750 0.875
O 0.875 0.625 0.750
La 0.704 0.115 0.020
La 0.315 0.520 0.405
La 0.980 0.385 0.296
La 0.520 0.204 0.115
La 0.590 0.704 0.685
La 0.980 0.595 0.185
La 0.315 0.796 0.410
La 0.095 0.910 0.115
La 0.595 0.980 0.685
La 0.704 0.590 0.185
La 0.796 0.480 0.385
La 0.815 0.905 0.020
La 0.115 0.704 0.520
La 0.385 0.405 0.090
La 0.090 0.905 0.385
La 0.410 0.115 0.595
La 0.090 0.185 0.204
La 0.480 0.685 0.095
La 0.815 0.910 0.296
La 0.115 0.410 0.095
La 0.385 0.980 0.796
La 0.595 0.615 0.410
La 0.905 0.815 0.520
La 0.796 0.315 0.910
La 0.405 0.385 0.590
La 0.095 0.185 0.480
La 0.204 0.685 0.090
La 0.185 0.090 0.704
La 0.615 0.020 0.204
La 0.885 0.590 0.905
La 0.520 0.315 0.905
La 0.590 0.885 0.405
La 0.910 0.815 0.796
La 0.910 0.095 0.615
La 0.885 0.296 0.480
La 0.185 0.095 0.980
La 0.615 0.595 0.910
La 0.405 0.020 0.315
La 0.296 0.410 0.815
La 0.204 0.520 0.615
La 0.905 0.090 0.885
La 0.685 0.204 0.590
La 0.480 0.796 0.885
La 0.020 0.405 0.815
La 0.410 0.296 0.315
La 0.020 0.615 0.704
La 0.685 0.480 0.595
La 0.296 0.885 0.980

E (eV/atom): -6.602
Calculated density (g cm⁻³): 5.8
Volume (A^3/atom): 26.18
Space-group type: Ia-3d, No. 230
Formation energy without anion corrections (eV per atom): -1.592

***

Density functional theory data (GGA-PBE) for a relaxed AgP2Se crystal.

Cell: 8.899 8.899 4.834 Å, 37.29 37.29 21.27°
Fractional positions:
Ag 0.250 0.250 0.250
P 0.003 0.003 0.090
P 0.497 0.497 0.410
Se 0.750 0.750 0.750

E (eV/atom): -4.193
Calculated density (g cm⁻³): 5.1
Volume (A^3/atom): 20.39
Space-group type: C2/m, No. 12
Formation energy without anion corrections (eV per atom): 0.096

***

Density functional theory data (GGA-PBE) for a relaxed NbNi2W crystal.

Cell: 6.790 6.790 5.457 Å, 51.53 51.53 90.00°
Fractional positions:
Ni 0.636 0.125 0.250
Ni 0.114 0.625 0.250
Ni 0.375 0.364 0.750
Ni 0.875 0.886 0.750
Nb 0.500 0.500 0.000
Nb 0.250 0.750 0.500
W 0.000 0.000 0.000
W 0.750 0.250 0.500

Formation energy (eV per atom): 0.4275
E (eV/atom): -8.219
Calculated density (g cm⁻³): 10.9
Volume (A^3/atom): 14.95
Space-group type: I-42d, No. 122

***

Density functional theory data (GGA-PBE) for a relaxed Dy2YZn4 crystal.

Cell: 5.161 5.161 7.186 Å, 111.05 111.05 90.00°
Fractional positions:
Dy 0.723 0.723 0.446
Dy 0.277 0.277 0.554
Y 0.000 0.000 0.000
Zn 0.389 0.889 0.778
Zn 0.889 0.389 0.778
Zn 0.611 0.111 0.222
Zn 0.111 0.611 0.222

Formation energy (eV per atom): -0.1606
E (eV/atom): -3.127
Calculated density (g cm⁻³): 6.8
Volume (A^3/atom): 23.55
Space-group type: I4/mmm, No. 139

***

Density functional theory data (GGA-PBE) for a relaxed Er4TcRu crystal.

Cell: 6.161 7.522 7.774 Å, 114.42 108.08 100.22°
Fractional positions:
Er 0.011 0.245 0.877
Er 0.788 0.696 0.645
Er 0.366 0.632 0.877
Er 0.357 0.949 0.645
Er 0.643 0.051 0.355
Er 0.634 0.368 0.123
Er 0.212 0.304 0.355
Er 0.989 0.755 0.123
Tc 0.385 0.635 0.270
Tc 0.615 0.365 0.730
Ru 0.248 0.998 0.995
Ru 0.752 0.002 0.005

Formation energy (eV per atom): -0.2447
E (eV/atom): -6.560
Calculated density (g cm⁻³): 9.9
Volume (A^3/atom): 24.31
Space-group type: C2/c, No. 15

***

Density functional theory data (GGA-PBE) for a relaxed BeFeAs crystal.

Cell: 3.817 3.817 3.817 Å, 60.00 60.00 60.00°
Fractional positions:
Be 0.000 0.000 0.000
As 0.750 0.750 0.750
Fe 0.500 0.500 0.500

Formation energy (eV per atom): 0.1875
E (eV/atom): -5.425
Calculated density (g cm⁻³): 5.9
Volume (A^3/atom): 13.11
Space-group type: F-43m, No. 216

***

Density functional theory data (GGA-PBE) for a relaxed Cr2FeTc crystal.

Cell: 4.119 4.119 4.119 Å, 60.00 60.00 60.00°
Fractional positions:
Cr 0.250 0.250 0.250
Cr 0.750 0.750 0.750
Tc 0.500 0.500 0.500
Fe 0.000 0.000 0.000

Formation energy (eV per atom): 0.1068
E (eV/atom): -9.412
Calculated density (g cm⁻³): 8.7
Volume (A^3/atom): 12.35
Space-group type: Fm-3m, No. 225

***

Density functional theory data (GGA-PBE) for a relaxed Cs3TlAu2 crystal.

Cell: 5.349 10.335 12.431 Å, 71.08 77.58 75.00°
Fractional positions:
Cs 0.050 0.144 0.756
Cs 0.950 0.856 0.244
Cs 0.660 0.670 0.010
Cs 0.340 0.330 0.990
Cs 0.778 0.830 0.615
Cs 0.222 0.170 0.385
Tl 0.426 0.496 0.652
Tl 0.574 0.504 0.348
Au 0.870 0.483 0.776
Au 0.130 0.517 0.224
Au 0.600 0.248 0.552
Au 0.400 0.752 0.448

Formation energy (eV per atom): -0.1725
E (eV/atom): -2.086
Calculated density (g cm⁻³): 5.3
Volume (A^3/atom): 51.78
Space-group type: C2/m, No. 12

***

Density functional theory data (GGA-PBE) for a relaxed Na3Ac2Sn2 crystal.

Cell: 4.900 4.449 12.402 Å, 100.33 90.00 90.00°
Fractional positions:
Na 0.500 0.574 0.148
Na 0.500 0.426 0.852
Na 0.000 0.000 0.000
Ac 0.000 0.823 0.646
Ac 0.000 0.177 0.354
Sn 0.500 0.708 0.417
Sn 0.500 0.292 0.583

Formation energy (eV per atom): -0.3122
E (eV/atom): -3.195
Calculated density (g cm⁻³): 4.7
Volume (A^3/atom): 38.00
Space-group type: Cmmm, No. 65

***

Q: The lowest volume belongs to which entry?
A: Cr2FeTc

***

Q: What is the calculated density in the eleventh record?
A: 5.3 g cm⁻³